Pr2Ga2Pb | PBE-GGA | optimized geometry

Cell: 4.295 4.210 7.679 Å, 105.91 90.00 90.00°
Atoms (fractional coordinates):
1 Pb 0.000 0.000 0.000
2 Pr 0.500 0.632 0.263
3 Ga 0.000 0.796 0.592
4 Ga 0.000 0.204 0.408
5 Pr 0.500 0.368 0.737

E_form, eV/f.u.: -3.0
Calculated total energy, eV for the cell shown: -22.33
Space-group type: No. 65
Size of the total moment, μB/f.u.: 0.0